# HfPt3F

A PBEsol-optimized structure of HfPt3F (meta-GGA SCAN, Alexandria via LeMat-Bulk).

Results
Formation energy (no corrections) (eV/atom): 0.8374
Magnetization (μB/f.u.): 0.0

CIF file:
```
data_HfPt3F
_chemical_formula_sum 'Hf1 Pt3 F1'
_cell_length_a 4.8576
_cell_length_b 4.8576
_cell_length_c 4.8576
_cell_angle_alpha 90.00
_cell_angle_beta 90.00
_cell_angle_gamma 90.00
_symmetry_space_group_name_H-M 'P m -3 m'
_symmetry_Int_Tables_number 221
_symmetry_space_group_name_Hall '-P 4 2 3'
loop_
_atom_site_label
_atom_site_type_symbol
_atom_site_fract_x
_atom_site_fract_y
_atom_site_fract_z
Hf1 Hf 0.0000 0.0000 0.0000
Pt1 Pt 0.0000 0.0000 0.5000
F1 F 0.5000 0.5000 0.5000
```

# Be2Rh

A PBEsol-optimized structure of Be2Rh (meta-GGA SCAN, Alexandria via LeMat-Bulk).

Results
Magnetization (μB/f.u.): 0.0
Formation enthalpy at 0 K (eV/atom): -0.63

CIF file:
```
data_Be2Rh
_chemical_formula_sum 'Be2 Rh1'
_cell_length_a 3.5713
_cell_length_b 3.5713
_cell_length_c 2.6234
_cell_angle_alpha 90.00
_cell_angle_beta 90.00
_cell_angle_gamma 120.00
_symmetry_space_group_name_H-M 'P 6/m m m'
_symmetry_Int_Tables_number 191
_symmetry_space_group_name_Hall '-P 6 2'
loop_
_atom_site_label
_atom_site_type_symbol
_atom_site_fract_x
_atom_site_fract_y
_atom_site_fract_z
Be1 Be 0.3333 0.6667 0.0000
Rh1 Rh 0.0000 0.0000 0.5000
```